1.
{"formula": "Na2PuCd6", "functional": "PBE", "state": "optimized geometry", "lattice": [[8.973, 0.000, 0.000], [-4.486, 7.771, 0.000], [0.000, 0.000, 3.134]], "species": ["Na", "Na", "Pu", "Cd", "Cd", "Cd", "Cd", "Cd", "Cd"], "frac_coords": [[0.333, 0.667, 0.000], [0.667, 0.333, 0.000], [0.000, 0.000, 0.000], [0.000, 0.335, 0.500], [0.000, 0.665, 0.500], [0.335, 0.000, 0.500], [0.335, 0.335, 0.500], [0.665, 0.000, 0.500], [0.665, 0.665, 0.500]], "sg": "P6/mmm (191)", "m_tot_mub_per_fu": 5.92, "energy_ha_per_atom": -0.0956}

=====

2.
{"formula": "Na4Pu3CdS8", "functional": "PBE", "state": "optimized geometry", "lattice": [[4.001, 2.310, 6.638], [-4.001, 2.310, 6.638], [0.000, -4.620, 6.638]], "species": ["Na", "Na", "Na", "Na", "Pu", "Pu", "Pu", "Cd", "S", "S", "S", "S", "S", "S", "S", "S"], "frac_coords": [[0.000, 0.000, 0.000], [0.000, 0.500, 0.500], [0.500, 0.000, 0.500], [0.500, 0.500, 0.000], [0.000, 0.000, 0.500], [0.000, 0.500, 0.000], [0.500, 0.000, 0.000], [0.500, 0.500, 0.500], [0.238, 0.744, 0.744], [0.242, 0.242, 0.242], [0.256, 0.256, 0.762], [0.256, 0.762, 0.256], [0.744, 0.238, 0.744], [0.744, 0.744, 0.238], [0.758, 0.758, 0.758], [0.762, 0.256, 0.256]], "sg": "R-3m (166)", "m_tot_mub_per_fu": 14.00, "formation_energy_uncorrected_kcal_per_mol_atoms": -31.31}

=====

3.
{"formula": "Na3Pu3CdS8", "functional": "PBE", "state": "optimized geometry", "lattice": [[6.852, -3.923, 0.000], [6.852, 3.923, 0.000], [-0.115, 0.000, 6.962]], "species": ["Na", "Na", "Na", "Pu", "Pu", "Pu", "Cd", "S", "S", "S", "S", "S", "S", "S", "S"], "frac_coords": [[0.000, 0.000, 0.000], [0.000, 0.500, 0.000], [0.500, 0.000, 0.000], [0.000, 0.500, 0.500], [0.500, 0.000, 0.500], [0.500, 0.500, 0.500], [0.000, 0.000, 0.500], [0.162, 0.662, 0.287], [0.173, 0.173, 0.271], [0.333, 0.333, 0.712], [0.338, 0.838, 0.713], [0.662, 0.162, 0.287], [0.667, 0.667, 0.288], [0.827, 0.827, 0.729], [0.838, 0.338, 0.713]], "sg": "C2/m (12)", "m_tot_mub_per_fu": 13.00, "formation_energy_uncorrected_kcal_per_mol_atoms": -29.45}